No. 1
This record from Alexandria describes PrNd5Er2Th after structural relaxation. The functional is GGA-PBE.

Structure (POSCAR):
```
PrNd5Er2Th
1.0
-2.007 0.922 -5.287
9.111 -5.391 -1.294
-5.345 -9.138 0.437
Th Er Nd Pr
2 4 10 2
Direct
0.801 0.603 0.513
0.199 0.397 0.013
0.113 0.227 0.735
0.884 0.767 0.818
0.887 0.773 0.235
0.116 0.233 0.318
0.985 0.969 0.522
0.477 0.954 0.741
0.523 0.046 0.241
0.613 0.226 0.527
0.277 0.554 0.314
0.293 0.586 0.704
0.015 0.031 0.022
0.723 0.446 0.814
0.387 0.774 0.027
0.707 0.414 0.204
0.411 0.822 0.447
0.589 0.178 0.947
```

Properties
D(E_F), states/eV/atom: 1.4662
Calculated volume, Å³/atom: 34.65
Magnetization, Bohr magnetons per cell: 0.00
Formation energy from the elements, kJ/mol of atoms: 15.70

No. 2
This record from Alexandria describes Pr4NdEr2Th after structural relaxation. The functional is GGA-PBE.

Structure (POSCAR):
```
Pr4NdEr2Th
1.0
-0.949 -4.717 1.833
5.022 -1.030 -0.051
5.854 2.563 9.626
Er Pr Th Nd
2 4 1 1
Direct
0.000 0.000 0.000
0.500 0.000 0.500
0.500 0.255 0.746
0.000 0.246 0.253
0.000 0.754 0.747
0.500 0.745 0.254
0.000 0.500 0.500
0.500 0.500 0.000
```

Properties
D(E_F), states/eV/atom: 1.5739
Calculated volume, Å³/atom: 34.17
Magnetization, Bohr magnetons per cell: 0.00
Formation energy from the elements, kJ/mol of atoms: 3.60

Question: Among the records above, which one has the highest D(E_F)?
Answer: Pr4NdEr2Th

Question: Number 1 is which compound?
Answer: PrNd5Er2Th